(1)
NaLiCoRe after structural relaxation, computed with PBE-GGA.

The structure in POSCAR format:
```
NaLiCoRe
1.0
0.000 2.993 2.993
2.993 0.000 2.993
2.993 2.993 0.000
Na Li Co Re
1 1 1 1
Direct
0.000 0.000 0.000
0.750 0.750 0.750
0.500 0.500 0.500
0.250 0.250 0.250
```

Values from the calculation:
DFT total energy: -4.85 eV/atom
Space group: F-43m

=====

(2)
ThAgOs after structural relaxation, computed with PBE-GGA.

The structure in POSCAR format:
```
ThAgOs
1.0
0.000 3.305 3.305
3.305 0.000 3.305
3.305 3.305 0.000
Th Ag Os
1 1 1
Direct
0.000 0.000 0.000
0.500 0.500 0.500
0.750 0.750 0.750
```

Values from the calculation:
DFT total energy: -6.88 eV/atom
Space group: F-43m
DFT formation energy: 0.270 eV per atom

=====

(3)
Ac2Pa2O5 after structural relaxation, computed with PBE-GGA.

The structure in POSCAR format:
```
Ac2Pa2O5
1.0
4.421 0.000 0.000
0.000 4.421 0.000
0.000 0.000 8.758
Ac Pa O
2 2 5
Direct
0.000 0.000 0.000
0.000 0.000 0.500
0.500 0.500 0.238
0.500 0.500 0.762
0.000 0.500 0.300
0.000 0.500 0.700
0.500 0.000 0.300
0.500 0.000 0.700
0.500 0.500 0.500
```

Values from the calculation:
DFT total energy: -8.07 eV/atom
Space group: P4/mmm

=====

(4)
Zn2Hg2Sb after structural relaxation, computed with PBE-GGA.

The structure in POSCAR format:
```
Zn2Hg2Sb
1.0
0.000 8.945 2.202
6.762 0.000 2.202
6.762 8.945 0.000
Zn Hg Sb
4 4 2
Direct
0.032 0.968 0.848
0.098 0.402 0.282
0.402 0.098 0.218
0.968 0.032 0.152
0.240 0.775 0.645
0.605 0.911 0.010
0.775 0.240 0.339
0.911 0.605 0.475
0.483 0.483 0.517
0.733 0.733 0.767
```

Values from the calculation:
DFT total energy: -1.31 eV/atom
Space group: Fdd2

=====

(5)
FeSnMo2 after structural relaxation, computed with PBE-GGA.

The structure in POSCAR format:
```
FeSnMo2
1.0
0.000 3.144 3.144
3.144 0.000 3.144
3.144 3.144 0.000
Fe Sn Mo
1 1 2
Direct
0.000 0.000 0.000
0.250 0.250 0.250
0.500 0.500 0.500
0.750 0.750 0.750
```

Values from the calculation:
DFT total energy: -8.21 eV/atom
Space group: F-43m

=====

(6)
LiPIrO after structural relaxation, computed with PBE-GGA.

The structure in POSCAR format:
```
LiPIrO
1.0
3.865 0.000 0.000
0.000 3.865 0.000
0.000 0.000 7.459
Li P Ir O
2 2 2 2
Direct
0.250 0.250 0.044
0.750 0.750 0.956
0.250 0.250 0.678
0.750 0.750 0.322
0.250 0.750 0.500
0.750 0.250 0.500
0.250 0.750 0.000
0.750 0.250 0.000
```

Values from the calculation:
DFT total energy: -5.88 eV/atom
Space group: P4/nmm

=====

(7)
Tb2YSi4Au4 after structural relaxation, computed with PBE-GGA.

The structure in POSCAR format:
```
Tb2YSi4Au4
1.0
-2.071 2.120 12.536
2.071 -2.120 12.536
2.071 2.120 -12.536
Tb Y Si Au
2 1 4 4
Direct
0.148 0.148 0.000
0.852 0.852 0.000
0.500 0.000 0.500
0.047 0.547 0.500
0.310 0.310 0.000
0.690 0.690 0.000
0.953 0.453 0.500
0.248 0.748 0.500
0.406 0.406 0.000
0.594 0.594 0.000
0.752 0.252 0.500
```

Values from the calculation:
DFT total energy: -5.31 eV/atom
Space group: Immm

=====

(8)
Gd2SO6 after structural relaxation, computed with PBE-GGA.

The structure in POSCAR format:
```
Gd2SO6
1.0
4.153 0.000 0.000
0.000 13.660 0.000
0.000 0.000 4.050
Gd S O
4 2 12
Direct
0.015 0.176 0.255
0.485 0.676 0.745
0.515 0.324 0.745
0.985 0.824 0.255
0.000 0.500 0.198
0.500 0.000 0.802
0.010 0.252 0.754
0.177 0.571 0.402
0.228 0.447 0.986
0.272 0.947 0.014
0.323 0.071 0.598
0.490 0.752 0.246
0.510 0.248 0.246
0.677 0.929 0.598
0.728 0.053 0.014
0.772 0.553 0.986
0.823 0.429 0.402
0.990 0.748 0.754
```

Values from the calculation:
DFT total energy: -7.42 eV/atom
Space group: P2_12_12

=====

(9)
Cs2Cu2Te4W after structural relaxation, computed with PBE-GGA.

The structure in POSCAR format:
```
Cs2Cu2Te4W
1.0
3.115 -7.727 0.000
3.115 7.727 0.000
0.000 0.000 6.231
Cs Cu Te W
2 2 4 1
Direct
0.000 0.500 0.249
0.500 0.000 0.751
0.000 0.000 0.000
0.500 0.500 0.500
0.154 0.345 0.749
0.345 0.154 0.251
0.655 0.846 0.251
0.846 0.655 0.749
0.000 0.000 0.500
```

Values from the calculation:
DFT total energy: -4.15 eV/atom
Space group: C222

=====

(10)
Cs4Zn2GePb after structural relaxation, computed with PBE-GGA.

The structure in POSCAR format:
```
Cs4Zn2GePb
1.0
7.050 0.000 0.000
0.000 6.008 4.113
0.000 -6.008 4.113
Cs Zn Ge Pb
4 2 1 1
Direct
0.000 0.162 0.838
0.000 0.838 0.162
0.500 0.511 0.851
0.500 0.851 0.511
0.273 0.321 0.321
0.727 0.321 0.321
0.500 0.097 0.097
0.000 0.555 0.555
```

Values from the calculation:
DFT total energy: -1.91 eV/atom
Space group: Amm2

=====

(11)
NdGdMg2Tl2 after structural relaxation, computed with PBE-GGA.

The structure in POSCAR format:
```
NdGdMg2Tl2
1.0
4.925 0.000 0.000
-2.462 4.265 0.000
0.000 0.000 7.557
Nd Gd Mg Tl
1 1 2 2
Direct
0.000 0.000 0.000
0.000 0.000 0.499
0.333 0.667 0.232
0.667 0.333 0.721
0.333 0.667 0.777
0.667 0.333 0.287
```

Values from the calculation:
DFT total energy: -3.19 eV/atom
Space group: P3m1

=====

(12)
Os2PtSe2 after structural relaxation, computed with PBE-GGA.

The structure in POSCAR format:
```
Os2PtSe2
1.0
4.065 0.000 0.000
-2.033 3.521 0.000
0.000 0.000 6.105
Os Pt Se
2 1 2
Direct
0.333 0.667 0.232
0.667 0.333 0.768
0.000 0.000 0.000
0.333 0.667 0.649
0.667 0.333 0.351
```

Values from the calculation:
DFT total energy: -6.62 eV/atom
Space group: P-3m1